Entry 1:
Crystalline KPu2Cl6 at its relaxed geometry. Source: the Alexandria database, functional PBE-GGA.

a = 6.7949 Å, b = 6.7949 Å, c = 13.1693 Å
α = 90.00°, β = 90.00°, γ = 90.00°
With the nearest neighbours (Å) after each atom.
Space group P4_2/mnm (No. 136)
Unique sites:
K1 0.0000 0.0000 0.0000  6 Cl 3.07-3.16
Pu1 0.0000 0.0000 0.3333  6 Cl 2.80-2.81
Cl1 0.1801 0.1801 0.5000  2 Pu 2.80, 1 K 3.07
Cl2 0.2092 0.2092 0.1848  2 Pu 2.80-2.81

Properties
* ΔE_f (raw): -186.06 kJ per mole of atoms
* E_tot: -6.4663 eV/atom
* energy above the most stable polymorph in this dataset: 0.027 eV/atom
* DOS at the Fermi energy: 54.82 states/eV/cell
* M_tot: 11.000 μB per formula unit

Entry 2:
Crystalline Er2ZnNi9 at its relaxed geometry. Source: the Alexandria database, functional PBE-GGA.

a = 4.8805 Å, b = 4.8805 Å, c = 23.9863 Å
α = 90.00°, β = 90.00°, γ = 120.00°
With the nearest neighbours (Å) after each atom.
Space group R-3m (No. 166, hexagonal axes)
Unique sites:
Er1 0.0000 0.0000 0.1350  9 Ni 2.75-2.92
Zn1 0.0000 0.0000 0.0000  18 Ni 2.82-3.13
Ni1 0.0000 0.0000 0.3331  6 Ni 2.41-2.43
Ni2 0.0000 0.0000 0.5000  6 Ni 2.48
Ni3 0.0015 0.5008 0.9181  7 Ni 2.41-2.48

Properties
* E_tot: -5.4354 eV/atom
* DOS at the Fermi energy: 36.73 states/eV/cell
* M_tot: 2.209 μB per formula unit

Entry 3:
Crystalline AgH3Pd7 at its relaxed geometry. Source: the Alexandria database, functional PBE-GGA.

a = 4.9860 Å, b = 5.7427 Å, c = 5.7616 Å
α = 61.06°, β = 74.21°, γ = 73.98°
With the nearest neighbours (Å) after each atom.
Space group P1 (No. 1)
Unique sites:
Ag1 0.0000 0.0000 0.0000  1 H 2.04
H1 0.3741 0.4347 0.9402  4 Pd 1.77-1.83
H2 0.3738 0.9400 0.4359  4 Pd 1.77-1.83
H3 0.4312 0.9339 0.9348  3 Pd 1.75-1.79
Pd1 0.9997 0.4988 0.0015  1 H 1.77
Pd2 0.0152 0.4977 0.4979  10 Pd 2.84-2.88, 2 Ag 2.92
Pd3 0.5108 0.2534 0.2535  2 H 1.81
Pd4 0.5187 0.2572 0.7327  2 H 1.75-1.81
Pd5 0.5192 0.7328 0.2574  2 H 1.75-1.82
Pd6 0.5287 0.7442 0.7444  3 H 1.79-1.83
Pd7 0.9993 0.0015 0.4986  1 H 1.77

Properties
* E_tot: -4.5332 eV/atom
* DOS at the Fermi energy: 9.73 states/eV/cell
* M_tot: 0.000 μB per formula unit

Entry 4:
Crystalline SrCrBi3 at its relaxed geometry. Source: the Alexandria database, functional PBE-GGA.

a = 6.0686 Å, b = 6.0686 Å, c = 6.0686 Å
α = 90.00°, β = 90.00°, γ = 90.00°
With the nearest neighbours (Å) after each atom.
Space group Pm-3m (No. 221)
Unique sites:
Sr1 0.0000 0.0000 0.0000  6 Bi 3.03
Cr1 0.5000 0.5000 0.5000  12 Bi 4.29
Bi1 0.0000 0.0000 0.5000  2 Sr 3.03

Properties
* E_tot: -3.5070 eV/atom
* energy above the most stable polymorph in this dataset: 1.060 eV/atom
* DOS at the Fermi energy: 3.43 states/eV/cell
* M_tot: 4.816 μB per formula unit

Entry 5:
Crystalline Mn3TcI at its relaxed geometry. Source: the Alexandria database, functional PBE-GGA.

a = 4.8395 Å, b = 4.8395 Å, c = 4.8395 Å
α = 90.00°, β = 90.00°, γ = 90.00°
With the nearest neighbours (Å) after each atom.
Space group Pm-3m (No. 221)
Unique sites:
Mn1 0.0000 0.0000 0.5000  2 Tc 2.42
Tc1 0.0000 0.0000 0.0000  6 Mn 2.42
I1 0.5000 0.5000 0.5000  12 Mn 3.42

Properties
* ΔE_f (raw): 109.30 kJ per mole of atoms
* E_tot: -6.7522 eV/atom
* energy above the most stable polymorph in this dataset: 0.000 eV/atom
* DOS at the Fermi energy: 5.86 states/eV/cell
* M_tot: 10.733 μB per formula unit

Entry 6:
Crystalline RbNa3Pb3 at its relaxed geometry. Source: the Alexandria database, functional PBE-GGA.

a = 8.5725 Å, b = 8.5725 Å, c = 8.5725 Å
α = 90.00°, β = 90.00°, γ = 90.00°
With the nearest neighbours (Å) after each atom.
Space group Pm-3n (No. 223)
Unique sites:
Rb1 0.0000 0.0000 0.0000  12 Pb 4.79, 12 Na 4.79
Na1 0.0000 0.2500 0.5000  4 Pb 3.03
Pb1 0.0000 0.5000 0.2500  4 Na 3.03

Properties
* E_tot: -1.9930 eV/atom
* DOS at the Fermi energy: 12.70 states/eV/cell
* M_tot: 0.000 μB per formula unit

Entry 7:
Crystalline LaZnIO2 at its relaxed geometry. Source: the Alexandria database, functional PBE-GGA.

a = 4.3866 Å, b = 4.3866 Å, c = 7.1327 Å
α = 90.00°, β = 90.00°, γ = 90.00°
With the nearest neighbours (Å) after each atom.
Space group P4/mmm (No. 123)
Unique sites:
La1 0.0000 0.0000 0.0000  4 O 2.19
Zn1 0.5000 0.5000 0.5000  4 I 3.10
I1 0.0000 0.0000 0.5000  4 Zn 3.10
O1 0.0000 0.5000 0.0000  2 La 2.19

Properties
* ΔE_f (raw): -119.60 kJ per mole of atoms
* E_tot: -4.7732 eV/atom
* energy above the most stable polymorph in this dataset: 0.000 eV/atom
* DOS at the Fermi energy: 3.50 states/eV/cell
* M_tot: 0.461 μB per formula unit

Entry 8:
Crystalline Ce2TlCuSe4 at its relaxed geometry. Source: the Alexandria database, functional PBE-GGA.

a = 4.2150 Å, b = 14.5384 Å, c = 14.5615 Å
α = 90.00°, β = 90.00°, γ = 90.00°
With the nearest neighbours (Å) after each atom.
Space group Cmcm (No. 63)
Unique sites:
Ce1 0.0000 0.1328 0.0612  6 Se 2.91-2.99
Tl1 0.0000 0.3900 0.2500  6 Se 3.33-3.41
Cu1 0.0000 0.3393 0.7500  4 Se 2.47-2.51
Se1 0.0000 0.0675 0.2500  2 Cu 2.51
Se2 0.0000 0.2360 0.6152  1 Cu 2.47
Se3 0.0000 0.5000 0.0000  4 Ce 2.99

Properties
* ΔE_f (raw): -122.13 kJ per mole of atoms
* E_tot: -5.2993 eV/atom
* DOS at the Fermi energy: 51.17 states/eV/cell
* M_tot: 2.004 μB per formula unit